Here is crystalline MgCdGa at its relaxed geometry from the Alexandria database. Energies are from PBE-GGA.

Computed properties:
Space group ... C2/m, No. 12
V ... 22.48 Å³ per atom
N(E_F) ... 1.48 states/eV/cell
Calculated total energy ... -1.90 eV per atom
Size of the total moment ... 0.0 μB/cell

```
MgCdGa
1.0
4.072 0.000 0.000
2.036 4.269 -0.100
2.036 1.062 7.735
Ga Cd Mg
2 2 2
Cartesian
6.108 4.004 4.126
2.036 1.326 3.509
2.036 1.286 0.663
6.108 4.044 6.972
4.072 2.342 5.424
4.072 2.988 2.211
```

---

Here is crystalline Mg12Cd6Ga at its relaxed geometry from the Alexandria database. Energies are from PBE-GGA.

Computed properties:
Distance to the lowest polymorph of the same formula ... 3.4 kJ/mol of atoms
Space group ... R-3, No. 148
V ... 22.96 Å³ per atom
N(E_F) ... 8.04 states/eV/cell
Calculated total energy ... -1.47 eV per atom
Size of the total moment ... 0.0 μB/cell

```
Mg12Cd6Ga
1.0
7.639 0.195 -2.291
-3.129 6.971 -2.291
0.123 0.195 7.974
Mg Ga Cd
12 1 6
Cartesian
-1.572 5.945 -0.151
5.627 2.014 -1.453
-0.336 4.220 2.024
3.123 1.523 3.154
-0.995 5.347 4.844
2.952 6.206 -2.412
1.619 3.887 4.323
1.680 1.155 5.803
4.968 3.142 1.367
3.013 3.474 -0.931
1.510 5.838 0.238
6.204 1.417 3.543
0.000 0.000 0.000
1.248 6.637 3.094
3.385 0.725 0.298
0.088 1.491 3.137
4.544 5.870 0.255
0.039 3.365 -0.863
4.593 3.997 4.255
```

---

Here is crystalline Mg5Cd5Ga2 at its relaxed geometry from the Alexandria database. Energies are from PBE-GGA.

Computed properties:
Space group ... C2/m, No. 12
V ... 21.21 Å³ per atom
N(E_F) ... 4.09 states/eV/cell
Calculated total energy ... -1.62 eV per atom
Size of the total moment ... 0.0 μB/cell

```
Mg5Cd5Ga2
1.0
4.279 0.000 0.965
2.244 9.235 0.021
0.741 -1.378 6.679
Cd Mg Ga
5 5 2
Cartesian
3.904 8.750 2.625
3.359 -0.893 5.041
5.221 5.728 6.756
1.493 3.929 3.350
2.043 2.129 0.910
3.542 6.009 4.233
5.371 1.372 6.091
0.000 0.000 0.000
1.893 6.485 1.574
3.722 1.848 3.433
4.108 4.459 1.721
3.155 3.398 5.945
```

---

Here is crystalline Mg5Cd8Ga at its relaxed geometry from the Alexandria database. Energies are from PBE-GGA.

Computed properties:
Space group ... I-4, No. 82
V ... 22.83 Å³ per atom
N(E_F) ... 3.81 states/eV/cell
Calculated total energy ... -1.32 eV per atom
Size of the total moment ... 0.0 μB/cell

```
Mg5Cd8Ga
1.0
-4.453 -5.739 1.701
5.802 -2.487 -3.976
2.502 3.222 6.246
Cd Mg Ga
8 5 1
Cartesian
5.037 -2.705 2.742
1.789 -1.702 5.159
-2.184 -3.589 5.302
-0.901 -3.918 2.503
1.789 -3.656 -0.072
1.297 -1.434 2.113
5.027 -0.733 0.354
3.554 -2.281 -2.213
-0.975 -1.259 3.974
2.310 -4.031 2.981
1.932 -0.471 -0.596
1.695 1.313 6.365
1.767 -6.821 -0.805
3.665 -0.262 3.122
```

---

Here is crystalline Mg5CdGa3 at its relaxed geometry from the Alexandria database. Energies are from PBE-GGA.

Computed properties:
Space group ... Cmcm, No. 63
V ... 20.41 Å³ per atom
N(E_F) ... 5.99 states/eV/cell
Calculated total energy ... -2.09 eV per atom
Size of the total moment ... 0.0 μB/cell

```
Mg5CdGa3
1.0
5.921 0.000 0.000
0.000 8.475 0.000
0.000 -4.237 7.323
Mg Cd Ga
10 2 6
Cartesian
0.000 0.000 4.882
0.000 4.237 2.441
2.961 0.000 4.882
1.480 -2.928 5.061
1.480 5.858 0.000
2.961 4.237 2.441
4.441 7.165 2.261
4.441 2.928 5.061
1.480 1.310 2.261
4.441 2.617 0.000
0.000 0.000 0.000
2.961 0.000 0.000
1.480 -1.536 2.656
4.441 5.399 0.000
4.441 5.773 4.667
4.441 1.536 2.656
1.480 2.702 4.667
1.480 3.076 0.000
```

---

Here is crystalline Mg2CdGa at its relaxed geometry from the Alexandria database. Energies are from PBE-GGA.

Computed properties:
Space group ... R3m, No. 160
V ... 21.12 Å³ per atom
N(E_F) ... 1.73 states/eV/cell
Calculated total energy ... -1.86 eV per atom
Size of the total moment ... 0.0 μB/cell

```
Mg2CdGa
1.0
-0.293 -3.197 0.327
-0.395 -1.859 -2.608
9.063 -2.613 -1.505
Ga Mg Cd
1 2 1
Cartesian
8.603 -5.984 -3.027
1.991 -1.907 -0.939
6.831 -2.390 -1.327
4.200 -3.836 -1.895
```

---

Here is crystalline Mg2Cd7Ga2 at its relaxed geometry from the Alexandria database. Energies are from PBE-GGA.

Computed properties:
Distance to the lowest polymorph of the same formula ... 0.0 kJ/mol of atoms
Space group ... Imm2, No. 44
V ... 22.63 Å³ per atom
N(E_F) ... 3.18 states/eV/cell
Calculated total energy ... -1.42 eV per atom
Size of the total moment ... 0.0 μB/cell

```
Mg2Cd7Ga2
1.0
4.546 0.000 -1.388
-0.909 5.195 -2.979
0.347 1.850 9.277
Ga Mg Cd
2 2 7
Cartesian
-0.521 2.975 -1.706
1.958 1.798 -1.725
0.719 5.913 2.357
3.031 2.461 1.791
3.554 5.426 3.503
0.290 3.192 0.950
1.470 4.586 -3.324
2.475 4.899 -0.032
1.263 3.547 4.138
3.934 2.477 4.748
0.619 0.535 2.028
```

---

Here is crystalline Mg2Cd2Ga at its relaxed geometry from the Alexandria database. Energies are from PBE-GGA.

Computed properties:
Distance to the lowest polymorph of the same formula ... 6.4 kJ/mol of atoms
Space group ... P4/mbm, No. 127
V ... 22.49 Å³ per atom
N(E_F) ... 4.30 states/eV/cell
Calculated total energy ... -1.60 eV per atom
Size of the total moment ... 0.0 μB/cell

```
Mg2Cd2Ga
1.0
-6.210 2.689 5.154
-4.698 -6.764 -2.131
1.251 -1.609 2.347
Mg Cd Ga
4 4 2
Cartesian
-3.653 -4.907 0.643
-2.212 -1.132 2.462
-6.003 -0.776 4.727
-7.444 -4.551 2.908
-4.450 0.842 2.949
-8.372 -1.858 3.190
-2.535 -2.216 -0.167
-6.458 -4.917 0.073
-5.454 -2.037 1.511
0.000 0.000 0.000
```

---

Here is crystalline Mg6CdGa3 at its relaxed geometry from the Alexandria database. Energies are from PBE-GGA.

Computed properties:
Distance to the lowest polymorph of the same formula ... 2.7 kJ/mol of atoms
Space group ... Cmc2_1, No. 36
V ... 21.72 Å³ per atom
N(E_F) ... 6.21 states/eV/cell
Calculated total energy ... -2.03 eV per atom
Size of the total moment ... 0.0 μB/cell

```
Mg6CdGa3
1.0
6.227 0.000 0.000
0.000 8.577 -0.459
0.000 -2.361 8.258
Ga Mg Cd
6 12 2
Cartesian
5.017 4.080 3.125
1.903 2.136 4.674
5.720 4.037 7.738
2.606 6.642 5.662
2.606 2.179 0.062
5.720 -0.426 2.137
4.941 -1.818 7.826
1.828 8.034 -0.026
1.886 -0.554 3.738
3.842 4.045 5.647
0.728 4.602 5.203
1.886 2.448 7.505
0.728 2.171 2.152
4.999 6.769 4.061
3.842 1.614 2.596
4.999 3.767 0.294
0.793 5.551 1.952
3.907 0.664 5.847
0.514 0.058 6.330
3.627 6.158 1.469
```

---

Here is crystalline Mg2Cd6Ga at its relaxed geometry from the Alexandria database. Energies are from PBE-GGA.

Computed properties:
Distance to the lowest polymorph of the same formula ... 1.4 kJ/mol of atoms
Space group ... C2/c, No. 15
V ... 22.19 Å³ per atom
N(E_F) ... 4.78 states/eV/cell
Calculated total energy ... -1.32 eV per atom
Size of the total moment ... 0.0 μB/cell

```
Mg2Cd6Ga
1.0
-1.102 -5.359 -1.210
6.494 -4.187 4.146
-3.399 -2.919 7.538
Cd Mg Ga
12 4 2
Cartesian
-2.618 -7.532 7.570
4.611 -4.933 2.904
-3.432 -6.653 4.867
0.197 -9.974 8.487
2.458 -6.675 5.486
-0.620 -9.031 5.747
5.425 -5.813 5.607
2.613 -3.435 4.727
-1.285 -4.847 2.249
-0.465 -5.791 4.988
1.797 -2.492 1.987
3.278 -7.619 8.225
1.610 -5.608 2.763
0.384 -6.858 7.712
-0.275 -2.616 4.203
2.269 -9.849 6.271
4.412 -8.046 3.669
-2.419 -4.420 6.805
```

---

Here is crystalline MgCdGa at its relaxed geometry from the Alexandria database. Energies are from PBE-GGA.

Computed properties:
Space group ... C2/m, No. 12
V ... 21.25 Å³ per atom
N(E_F) ... 2.44 states/eV/cell
Calculated total energy ... -1.87 eV per atom
Size of the total moment ... 0.0 μB/cell

```
MgCdGa
1.0
0.148 -3.555 2.470
2.460 2.033 2.929
-5.109 3.210 3.373
Mg Cd Ga
2 2 2
Cartesian
-1.514 3.276 5.199
-0.988 -1.589 3.573
-2.620 0.433 4.932
0.119 1.254 3.840
0.667 -0.389 1.380
1.941 -1.133 4.019
```

---

Here is crystalline Mg14CdGa at its relaxed geometry from the Alexandria database. Energies are from PBE-GGA.

Computed properties:
Distance to the lowest polymorph of the same formula ... 1.0 kJ/mol of atoms
Space group ... Amm2, No. 38
V ... 22.33 Å³ per atom
N(E_F) ... 7.47 states/eV/cell
Calculated total energy ... -1.66 eV per atom
Size of the total moment ... 0.0 μB/cell

```
Mg14CdGa
1.0
6.277 -0.227 0.000
-2.669 5.686 0.000
0.000 0.000 10.185
Mg Ga Cd
14 1 1
Cartesian
2.028 0.646 2.627
0.481 1.658 0.000
0.936 5.286 5.093
3.592 1.548 0.000
-0.888 2.526 5.093
-0.888 4.509 0.000
5.173 0.503 2.535
2.028 0.646 7.558
2.272 4.367 0.000
3.809 3.340 2.627
5.173 0.503 7.650
3.809 3.340 7.558
0.694 3.463 7.612
0.694 3.463 2.574
2.194 2.472 5.093
-2.241 5.403 5.093
```

---

Here is crystalline MgCdGa at its relaxed geometry from the Alexandria database. Energies are from PBE-GGA.

Computed properties:
Space group ... I4mm, No. 107
V ... 20.96 Å³ per atom
N(E_F) ... 0.79 states/eV/cell
Calculated total energy ... -1.89 eV per atom
Size of the total moment ... 0.0 μB/cell

```
MgCdGa
1.0
3.453 0.000 0.000
0.000 3.453 0.000
-1.727 -1.727 5.272
Cd Ga Mg
1 1 1
Cartesian
1.727 1.727 1.270
0.000 0.000 3.017
1.727 1.727 4.676
```

---

Here is crystalline Mg14CdGa at its relaxed geometry from the Alexandria database. Energies are from PBE-GGA.

Computed properties:
Distance to the lowest polymorph of the same formula ... 0.0 kJ/mol of atoms
Space group ... P-6m2, No. 187
V ... 22.10 Å³ per atom
N(E_F) ... 8.85 states/eV/cell
Calculated total energy ... -1.67 eV per atom
Size of the total moment ... 0.0 μB/cell

```
Mg14CdGa
1.0
4.980 3.617 1.553
-5.848 1.724 1.765
1.076 -5.189 8.635
Mg Ga Cd
14 1 1
Cartesian
0.122 0.079 5.976
2.487 1.811 0.778
3.017 -0.775 5.102
-0.430 2.671 1.659
-3.255 -1.835 8.174
-3.785 0.721 3.921
2.587 1.870 6.745
2.176 -0.898 8.086
-0.745 -0.012 8.957
-0.837 -0.148 3.031
2.054 4.476 2.434
-0.307 -2.705 7.284
1.641 1.681 3.796
-1.275 2.544 4.703
0.538 -2.595 4.317
0.000 0.000 0.000
```

---

Here is crystalline Mg3CdGa at its relaxed geometry from the Alexandria database. Energies are from PBE-GGA.

Computed properties:
Distance to the lowest polymorph of the same formula ... 39.6 kJ/mol of atoms
Space group ... Pm-3m, No. 221
V ... 28.51 Å³ per atom
N(E_F) ... 2.19 states/eV/cell
Calculated total energy ... -1.41 eV per atom
Size of the total moment ... 0.0 μB/cell

```
Mg3CdGa
1.0
5.224 0.000 0.000
0.000 5.224 0.000
0.000 0.000 5.224
Mg Cd Ga
3 1 1
Cartesian
0.000 2.612 0.000
2.612 0.000 0.000
0.000 0.000 2.612
0.000 0.000 0.000
2.612 2.612 2.612
```

---

Here is crystalline Mg5Cd2Ga2 at its relaxed geometry from the Alexandria database. Energies are from PBE-GGA.

Computed properties:
Distance to the lowest polymorph of the same formula ... 0.0 kJ/mol of atoms
Space group ... Cmce, No. 64
V ... 21.91 Å³ per atom
N(E_F) ... 5.32 states/eV/cell
Calculated total energy ... -1.84 eV per atom
Size of the total moment ... 0.0 μB/cell

```
Mg5Cd2Ga2
1.0
-4.968 -3.168 -4.063
4.855 -4.517 -2.415
-4.082 -2.645 7.053
Mg Cd Ga
10 4 4
Cartesian
0.256 -3.273 -0.028
-4.451 -7.057 0.602
-6.180 -4.354 2.381
-0.056 -3.842 -3.239
-1.208 -6.900 -3.485
-2.937 -4.196 -1.706
-2.986 -3.430 4.059
1.986 -5.976 -1.806
0.000 0.000 0.000
-1.257 -6.133 2.281
1.514 -4.967 2.022
-3.398 -4.293 1.198
-0.740 -2.194 2.616
-0.796 -6.037 -0.623
-1.237 -1.752 -1.820
2.409 -3.233 -2.030
-2.522 -4.452 -4.448
1.125 -5.933 -4.658
```

---

Here is crystalline Mg7CdGa4 at its relaxed geometry from the Alexandria database. Energies are from PBE-GGA.

Computed properties:
Space group ... C2/m, No. 12
V ... 22.13 Å³ per atom
N(E_F) ... 3.04 states/eV/cell
Calculated total energy ... -2.02 eV per atom
Size of the total moment ... 0.0 μB/cell

```
Mg7CdGa4
1.0
5.288 0.000 0.000
2.644 7.793 0.034
2.644 0.335 6.446
Ga Mg Cd
4 7 1
Cartesian
5.288 1.979 4.187
5.288 6.149 2.293
2.644 2.679 0.270
7.932 5.449 6.210
5.288 3.060 1.713
2.644 5.104 1.452
5.288 5.068 4.767
2.644 0.000 0.000
2.644 1.170 2.774
7.932 6.958 3.706
7.932 3.024 5.028
0.000 0.000 0.000
```

---

Here is crystalline MgCd12Ga6 at its relaxed geometry from the Alexandria database. Energies are from PBE-GGA.

Computed properties:
Space group ... R-3, No. 148
V ... 21.94 Å³ per atom
N(E_F) ... 6.17 states/eV/cell
Calculated total energy ... -1.57 eV per atom
Size of the total moment ... 0.0 μB/cell

```
MgCd12Ga6
1.0
-0.251 -2.656 6.978
-6.121 -3.885 -1.802
4.194 -5.793 -2.157
Ga Cd Mg
6 12 1
Cartesian
-2.432 -9.665 1.854
1.265 -7.512 4.119
-3.443 -4.822 -1.101
0.255 -2.669 1.164
1.934 -6.841 -0.628
-4.112 -5.494 3.647
0.051 -8.140 1.224
-1.227 -9.851 -0.972
1.132 -4.569 5.010
-0.585 -5.249 -0.535
-1.592 -7.085 3.554
0.995 -5.374 2.059
-0.951 -2.484 3.990
-0.288 -7.416 -2.679
-2.229 -4.194 1.794
-3.173 -6.960 0.960
-3.310 -7.765 -1.992
-1.890 -4.919 5.697
0.000 0.000 0.000
```

---

Here is crystalline MgCdGa6 at its relaxed geometry from the Alexandria database. Energies are from PBE-GGA.

Computed properties:
Distance to the lowest polymorph of the same formula ... 0.0 kJ/mol of atoms
Space group ... Amm2, No. 38
V ... 19.54 Å³ per atom
N(E_F) ... 3.02 states/eV/cell
Calculated total energy ... -2.59 eV per atom
Size of the total moment ... 0.0 μB/cell

```
MgCdGa6
1.0
5.091 0.000 0.000
0.000 5.250 -2.791
0.000 -0.178 5.943
Mg Ga Cd
1 6 1
Cartesian
0.000 0.291 5.189
2.545 4.663 0.872
0.000 2.944 3.863
0.000 3.013 0.809
2.545 2.226 -0.643
0.000 0.304 2.223
2.545 4.784 -2.041
2.545 2.061 2.341
```

---

Here is crystalline Mg5Cd2Ga at its relaxed geometry from the Alexandria database. Energies are from PBE-GGA.

Computed properties:
Distance to the lowest polymorph of the same formula ... 0.0 kJ/mol of atoms
Space group ... Pbam, No. 55
V ... 21.40 Å³ per atom
N(E_F) ... 5.84 states/eV/cell
Calculated total energy ... -1.70 eV per atom
Size of the total moment ... 0.0 μB/cell

```
Mg5Cd2Ga
1.0
4.603 0.000 0.000
0.000 6.115 0.000
0.000 0.000 12.167
Cd Mg Ga
4 10 2
Cartesian
2.301 2.032 4.387
2.301 5.089 1.696
2.301 4.083 7.780
2.301 1.026 10.470
2.301 4.164 10.858
0.000 0.502 3.189
0.000 0.000 0.000
2.301 5.008 4.774
0.000 3.057 6.083
0.000 3.559 2.894
2.301 1.107 7.392
2.301 1.951 1.309
0.000 5.613 8.977
0.000 2.556 9.273
0.000 3.057 0.000
0.000 0.000 6.083
```